A:
{
  "formula": "In2NiAu",
  "functional": "GGA-PBEsol",
  "state": "relaxed",
  "vol_a3_per_cell": 72.9,
  "lattice": [[-1.4649, 2.1368, 5.8218], [1.4649, -2.1368, 5.8218], [1.4649, 2.1368, -5.8218]],
  "species": ["In", "In", "Ni", "Au"],
  "frac_coords": [[0.0000, 0.0000, 0.0000], [0.7124, 0.2124, 0.5000], [0.1902, 0.6902, 0.5000], [0.3866, 0.3866, 0.0000]]
}

***

B:
{
  "formula": "In2NiAu",
  "functional": "GGA-PBEsol",
  "state": "relaxed",
  "vol_a3_per_cell": 72.4,
  "lattice": [[4.1309, 0.0000, 0.0000], [0.0000, 1.7157, 5.1098], [0.0000, -1.7157, 5.1098]],
  "species": ["In", "In", "Ni", "Au"],
  "frac_coords": [[0.0000, 0.0000, 0.0000], [0.5000, 0.3074, 0.3074], [0.0000, 0.7417, 0.7417], [0.5000, 0.5843, 0.5843]]
}

***

The most stable of them is A.

***

A:
{
  "formula": "Ag2Pt",
  "functional": "GGA-PBEsol",
  "state": "relaxed",
  "vol_a3_per_cell": 57.8,
  "lattice": [[0.0000, 3.0694, 3.0694], [3.0694, 0.0000, 3.0694], [3.0694, 3.0694, 0.0000]],
  "species": ["Ag", "Ag", "Pt"],
  "frac_coords": [[0.2500, 0.2500, 0.2500], [0.7500, 0.7500, 0.7500], [0.0000, 0.0000, 0.0000]]
}

***

B:
{
  "formula": "Ag2Pt",
  "functional": "GGA-PBEsol",
  "state": "relaxed",
  "vol_a3_per_cell": 190.6,
  "lattice": [[4.0297, -4.0136, 0.0000], [4.0297, 4.0136, 0.0000], [-1.9955, 0.0000, 5.8936]],
  "species": ["Ag", "Ag", "Ag", "Ag", "Ag", "Ag", "Ag", "Ag", "Pt", "Pt", "Pt", "Pt"],
  "frac_coords": [[0.0813, 0.5837, 0.3326], [0.0858, 0.0858, 0.3295], [0.2461, 0.2461, 0.9951], [0.4163, 0.9187, 0.6674], [0.5837, 0.0813, 0.3326], [0.7539, 0.7539, 0.0049], [0.9142, 0.9142, 0.6705], [0.9187, 0.4163, 0.6674], [0.2579, 0.7421, 0.0000], [0.4225, 0.4225, 0.6657], [0.5775, 0.5775, 0.3343], [0.7421, 0.2579, 0.0000]]
}

***

The most stable of them is B.

***

A:
{
  "formula": "AgPt2",
  "functional": "GGA-PBEsol",
  "state": "relaxed",
  "vol_a3_per_cell": 93.9,
  "lattice": [[4.5085, 0.0000, 0.0000], [-2.2543, 3.9045, 0.0000], [0.0000, 0.0000, 5.3348]],
  "species": ["Ag", "Ag", "Pt", "Pt", "Pt", "Pt"],
  "frac_coords": [[0.3333, 0.6667, 0.2500], [0.6667, 0.3333, 0.7500], [0.0000, 0.0000, 0.0000], [0.0000, 0.0000, 0.5000], [0.3333, 0.6667, 0.7500], [0.6667, 0.3333, 0.2500]]
}

***

B:
{
  "formula": "AgPt2",
  "functional": "GGA-PBEsol",
  "state": "relaxed",
  "vol_a3_per_cell": 99.7,
  "lattice": [[0.0000, 3.6799, 3.6799], [3.6799, 0.0000, 3.6799], [3.6799, 3.6799, 0.0000]],
  "species": ["Ag", "Ag", "Pt", "Pt", "Pt", "Pt"],
  "frac_coords": [[0.1250, 0.1250, 0.1250], [0.8750, 0.8750, 0.8750], [0.0000, 0.5000, 0.5000], [0.5000, 0.0000, 0.5000], [0.5000, 0.5000, 0.0000], [0.5000, 0.5000, 0.5000]]
}

***

The most stable of them is B.

***

A:
{
  "formula": "BeOsBr2",
  "functional": "GGA-PBEsol",
  "state": "relaxed",
  "vol_a3_per_cell": 74.2,
  "lattice": [[1.5018, -2.8150, 0.0000], [1.5018, 2.8150, 0.0000], [0.0000, 0.0000, 8.7810]],
  "species": ["Be", "Os", "Br", "Br"],
  "frac_coords": [[0.0000, 0.0000, 0.0000], [0.5000, 0.5000, 0.7808], [0.0000, 0.0000, 0.5560], [0.5000, 0.5000, 0.1770]]
}

***

B:
{
  "formula": "BeOsBr2",
  "functional": "GGA-PBEsol",
  "state": "relaxed",
  "vol_a3_per_cell": 65.1,
  "lattice": [[-1.9886, 1.9886, 4.1160], [1.9886, -1.9886, 4.1160], [1.9886, 1.9886, -4.1160]],
  "species": ["Be", "Os", "Br", "Br"],
  "frac_coords": [[0.0000, 0.0000, 0.0000], [0.2500, 0.7500, 0.5000], [0.5000, 0.5000, 0.0000], [0.7500, 0.2500, 0.5000]]
}

***

The most stable of them is A.